Entry from Alexandria via LeMat-Bulk: an optimized crystal structure of KVAgO4 (PBE with a Hubbard U).

Results
Raw total energy in Ry per atom: -0.4247
SG: No. 63

Unit cell a=6.0927 b=6.0927 c=6.9851 alpha=90.00 beta=90.00 gamma=111.25
Site moments in Bohr magnetons follow the coordinates.
Element x y z (fractional)
O: 0.1835 0.2240 0.7500  0.12
V: 0.8778 0.1222 0.7500  -0.07
Ag: 0.1796 0.8204 0.7500  0.24
O: 0.2234 0.7766 0.0441  0.13
V: 0.1222 0.8778 0.2500  -0.07
K: 0.5000 0.5000 0.5000  0.00
Ag: 0.8204 0.1796 0.2500  0.24
O: 0.7760 0.8165 0.7500  0.12
K: 0.5000 0.5000 0.0000  0.00
O: 0.2234 0.7766 0.4559  0.13
O: 0.8165 0.7760 0.2500  0.12
O: 0.7766 0.2234 0.9559  0.13
O: 0.7766 0.2234 0.5441  0.13
O: 0.2240 0.1835 0.2500  0.12